(1)
Below is a geometry-optimized Ba3ZrGe structure, with properties calculated at the PBEsol level.

abc: 5.9236 5.9236 5.9236
angles: 90.00 90.00 90.00
Closest atoms and distances in Å follow each position.
Fractional positions:
Ba 0.0000 0.0000 0.5000  2 Zr 2.96
Ba 0.0000 0.5000 0.0000  2 Zr 2.96
Ba 0.5000 0.0000 0.0000  2 Zr 2.96
Zr 0.0000 0.0000 0.0000  6 Ba 2.96
Ge 0.5000 0.5000 0.5000  12 Ba 4.19

Output
The density of states at the Fermi level is 9.2 states/eV/cell. The total energy is -0.241 Ry per atom.

***

(2)
Below is a geometry-optimized BaH2 structure, with properties calculated at the PBEsol level.

abc: 4.3868 4.3868 5.7965
angles: 90.00 90.00 120.00
Closest atoms and distances in Å follow each position.
Fractional positions:
Ba 0.3333 0.6667 0.2500  3 H 2.53
Ba 0.6667 0.3333 0.7500  3 H 2.53
H 0.0000 0.0000 0.0000  8 H 2.90-2.92, 6 Ba 2.92
H 0.0000 0.0000 0.5000  8 H 2.90-2.92, 6 Ba 2.92
H 0.3333 0.6667 0.7500  3 Ba 2.53
H 0.6667 0.3333 0.2500  3 Ba 2.53

Output
The density of states at the Fermi level is 0.0 states/eV/cell. The total energy is -0.251 Ry per atom.

***

(3)
Below is a geometry-optimized BaH2 structure, with properties calculated at the PBEsol level.

abc: 6.6292 4.1035 7.7190
angles: 90.00 90.00 90.00
Closest atoms and distances in Å follow each position.
Fractional positions:
Ba 0.2404 0.2500 0.1117  5 H 2.55-2.77
Ba 0.2596 0.7500 0.6117  5 H 2.55-2.77
Ba 0.7404 0.2500 0.3883  5 H 2.55-2.77
Ba 0.7596 0.7500 0.8883  5 H 2.55-2.77
H 0.0284 0.7500 0.3128  5 Ba 2.77-2.93, 5 H 3.01-3.10
H 0.1482 0.7500 0.9282  4 Ba 2.55-2.59
H 0.3518 0.2500 0.4282  4 Ba 2.55-2.59
H 0.4716 0.2500 0.8128  5 Ba 2.77-2.93, 5 H 3.01-3.10
H 0.5284 0.7500 0.1872  5 Ba 2.77-2.93, 5 H 3.01-3.10
H 0.6482 0.7500 0.5718  4 Ba 2.55-2.59
H 0.8518 0.2500 0.0718  4 Ba 2.55-2.59
H 0.9716 0.2500 0.6872  5 Ba 2.77-2.93, 5 H 3.01-3.10

Output
The density of states at the Fermi level is 0.0 states/eV/cell. The total energy is -0.251 Ry per atom.

***

- Which of these has the highest total energy?
  Ba3ZrGe

***

- The highest total energy belongs to which entry?
  Ba3ZrGe

***

Copy entry 2 word for word.
Below is a geometry-optimized BaH2 structure, with properties calculated at the PBEsol level.

abc: 4.3868 4.3868 5.7965
angles: 90.00 90.00 120.00
Closest atoms and distances in Å follow each position.
Fractional positions:
Ba 0.3333 0.6667 0.2500  3 H 2.53
Ba 0.6667 0.3333 0.7500  3 H 2.53
H 0.0000 0.0000 0.0000  8 H 2.90-2.92, 6 Ba 2.92
H 0.0000 0.0000 0.5000  8 H 2.90-2.92, 6 Ba 2.92
H 0.3333 0.6667 0.7500  3 Ba 2.53
H 0.6667 0.3333 0.2500  3 Ba 2.53

Output
The density of states at the Fermi level is 0.0 states/eV/cell. The total energy is -0.251 Ry per atom.